# AcBC2, optimized geometry, DFT PBE
data_AcBC2
_chemical_formula_sum 'Ac2 B2 C4'
_cell_length_a 7.3583
_cell_length_b 3.9954
_cell_length_c 4.4378
_cell_angle_alpha 90.00
_cell_angle_beta 90.00
_cell_angle_gamma 90.00
_symmetry_space_group_name_H-M 'P m m a'
_symmetry_Int_Tables_number 51
loop_
_symmetry_equiv_pos_as_xyz
'x,y,z'
'-x,-y,-z'
'-x+1/2,-y,z'
'x+1/2,y,-z'
'x+1/2,-y,-z'
'-x+1/2,y,z'
'-x,y,-z'
'x,-y,z'
loop_
_atom_site_label
_atom_site_fract_x
_atom_site_fract_y
_atom_site_fract_z
_atom_site_occupancy
Ac1 0.2500 0.0000 0.2406 1
B1 0.2500 0.5000 0.7477 1
C1 0.0724 0.5000 0.9123 1
# total magnetization = 0.00 μB/f.u.
# V = 130.5 Å³ per cell
# ρ = 6.665 g/cm3
# E_tot = -7.27 eV/atom
# formation enthalpy at 0 K = 4.18 kJ/mol of atoms